First-principles (PBE) data for a relaxed Rb2Ba3PaO6 crystal, as listed in the Alexandria database.

Output
For the density of states at the Fermi level, the calculation gives 2.513 states/eV/f.u. The energy relative to the elements, uncorrected comes out at -2.454 eV/atom. The calculation puts the magnetic moment at 1.0 Bohr magnetons per cell. The space group is C2/m, No. 12.

The structure in CIF format:
```
data_Rb2Ba3PaO6
_cell_length_a 6.968
_cell_length_b 6.968
_cell_length_c 6.580
_cell_angle_alpha 99.40
_cell_angle_beta 99.40
_cell_angle_gamma 121.00
_symmetry_space_group_name_H-M 'P 1'
_symmetry_Int_Tables_number 1
_symmetry_space_group_name_Hall 'P 1'
loop_
_atom_site_label
_atom_site_fract_x
_atom_site_fract_y
_atom_site_fract_z
_atom_site_occupancy
Ba1 0.839 0.161 0.500 1
Rb1 0.332 0.668 0.000 1
O1 0.323 0.074 0.216 1
O2 0.074 0.323 0.216 1
O3 0.818 0.818 0.234 1
O4 0.182 0.182 0.766 1
Rb2 0.668 0.332 0.000 1
Ba2 0.161 0.839 0.500 1
O5 0.926 0.677 0.784 1
Pa1 0.000 0.000 0.000 1
O6 0.677 0.926 0.784 1
Ba3 0.500 0.500 0.500 1
```

=====

First-principles (PBE) data for a relaxed Rb2CBr crystal, as listed in the Alexandria database.

Output
For the density of states at the Fermi level, the calculation gives 0.000 states/eV/f.u. The energy relative to the elements, uncorrected comes out at 0.357 eV/atom. The calculation puts the magnetic moment at 6.0 Bohr magnetons per cell. The space group is I-42d, No. 122. The value obtained for the energy above the most stable polymorph in this dataset is 0.09 eV per formula unit.

The structure in CIF format:
```
data_Rb2CBr
_cell_length_a 7.484
_cell_length_b 7.484
_cell_length_c 9.062
_cell_angle_alpha 65.61
_cell_angle_beta 65.61
_cell_angle_gamma 90.00
_symmetry_space_group_name_H-M 'P 1'
_symmetry_Int_Tables_number 1
_symmetry_space_group_name_Hall 'P 1'
loop_
_atom_site_label
_atom_site_fract_x
_atom_site_fract_y
_atom_site_fract_z
_atom_site_occupancy
Br1 0.750 0.250 0.500 1
C1 0.500 0.500 0.000 1
Rb1 0.375 0.407 0.750 1
Rb2 0.593 0.125 0.250 1
Br2 0.000 0.000 0.000 1
Rb3 0.875 0.843 0.750 1
C2 0.250 0.750 0.500 1
Rb4 0.157 0.625 0.250 1
```

=====

First-principles (PBE) data for a relaxed Sm4Dy8Ho3 crystal, as listed in the Alexandria database.

Output
For the density of states at the Fermi level, the calculation gives 29.576 states/eV/f.u. The calculation puts the magnetic moment at 0.0 Bohr magnetons per cell. The energy of formation from the pure elements comes out at 378.8 meV per atom. The space group is C2/m, No. 12. The value obtained for the energy above the most stable polymorph in this dataset is 3.77 eV per formula unit.

The structure in CIF format:
```
data_Sm4Dy8Ho3
_cell_length_a 6.746
_cell_length_b 9.266
_cell_length_c 9.266
_cell_angle_alpha 87.27
_cell_angle_beta 111.46
_cell_angle_gamma 111.46
_symmetry_space_group_name_H-M 'P 1'
_symmetry_Int_Tables_number 1
_symmetry_space_group_name_Hall 'P 1'
loop_
_atom_site_label
_atom_site_fract_x
_atom_site_fract_y
_atom_site_fract_z
_atom_site_occupancy
Sm1 0.000 0.500 0.000 1
Ho1 0.500 0.000 0.500 1
Dy1 0.000 0.360 0.640 1
Dy2 0.500 0.745 0.255 1
Sm2 0.000 0.000 0.000 1
Dy3 0.500 0.255 0.745 1
Dy4 0.000 0.640 0.360 1
Dy5 0.002 0.270 0.270 1
Ho2 0.500 0.500 0.500 1
Sm3 0.500 0.000 0.000 1
Dy6 0.519 0.266 0.266 1
Sm4 0.000 0.000 0.500 1
Ho3 0.500 0.500 0.000 1
Dy7 0.481 0.734 0.734 1
Dy8 0.998 0.730 0.730 1
```

=====

First-principles (PBE) data for a relaxed NaGa4I5 crystal, as listed in the Alexandria database.

Output
For the density of states at the Fermi level, the calculation gives 0.000 states/eV/f.u. The energy relative to the elements, uncorrected comes out at -0.525 eV/atom. The calculation puts the magnetic moment at 0.0 Bohr magnetons per cell. The space group is I4/m, No. 87.

The structure in CIF format:
```
data_NaGa4I5
_cell_length_a 6.613
_cell_length_b 8.101
_cell_length_c 8.101
_cell_angle_alpha 80.41
_cell_angle_beta 65.91
_cell_angle_gamma 65.91
_symmetry_space_group_name_H-M 'P 1'
_symmetry_Int_Tables_number 1
_symmetry_space_group_name_Hall 'P 1'
loop_
_atom_site_label
_atom_site_fract_x
_atom_site_fract_y
_atom_site_fract_z
_atom_site_occupancy
Ga1 0.604 0.598 0.196 1
I1 0.902 0.394 0.804 1
Ga2 0.799 0.804 0.598 1
I2 0.706 0.196 0.394 1
I3 0.100 0.606 0.196 1
Ga3 0.398 0.402 0.804 1
I4 0.296 0.804 0.606 1
I5 0.502 0.000 0.000 1
Na1 0.002 0.000 0.000 1
Ga4 0.202 0.196 0.402 1
```

=====

First-principles (PBE) data for a relaxed Pr6Ni2AgI3 crystal, as listed in the Alexandria database.

Output
For the density of states at the Fermi level, the calculation gives 9.514 states/eV/f.u. The energy relative to the elements, uncorrected comes out at -0.611 eV/atom. The calculation puts the magnetic moment at 0.0 Bohr magnetons per cell. The space group is C2/m, No. 12.

The structure in CIF format:
```
data_Pr6Ni2AgI3
_cell_length_a 7.419
_cell_length_b 7.419
_cell_length_c 8.418
_cell_angle_alpha 98.50
_cell_angle_beta 98.50
_cell_angle_gamma 119.93
_symmetry_space_group_name_H-M 'P 1'
_symmetry_Int_Tables_number 1
_symmetry_space_group_name_Hall 'P 1'
loop_
_atom_site_label
_atom_site_fract_x
_atom_site_fract_y
_atom_site_fract_z
_atom_site_occupancy
I1 0.162 0.838 0.500 1
Ni1 0.333 0.667 0.000 1
Pr1 0.300 0.300 0.813 1
Pr2 0.426 0.064 0.189 1
I2 0.838 0.162 0.500 1
Pr3 0.700 0.700 0.187 1
Ni2 0.667 0.333 0.000 1
Pr4 0.574 0.936 0.811 1
Pr5 0.064 0.426 0.189 1
Pr6 0.936 0.574 0.811 1
I3 0.500 0.500 0.500 1
Ag1 0.000 0.000 0.000 1
```

=====

First-principles (PBE) data for a relaxed HgAsSeN2 crystal, as listed in the Alexandria database.

Output
For the density of states at the Fermi level, the calculation gives 3.421 states/eV/f.u. The energy relative to the elements, uncorrected comes out at 1.978 eV/atom. The calculation puts the magnetic moment at 2.7 Bohr magnetons per cell. The space group is P4/mmm, No. 123. The value obtained for the energy above the most stable polymorph in this dataset is 4.00 eV per formula unit.

The structure in CIF format:
```
data_HgAsSeN2
_cell_length_a 4.187
_cell_length_b 4.187
_cell_length_c 6.238
_cell_angle_alpha 90.00
_cell_angle_beta 90.00
_cell_angle_gamma 90.00
_symmetry_space_group_name_H-M 'P 1'
_symmetry_Int_Tables_number 1
_symmetry_space_group_name_Hall 'P 1'
loop_
_atom_site_label
_atom_site_fract_x
_atom_site_fract_y
_atom_site_fract_z
_atom_site_occupancy
As1 0.500 0.500 0.500 1
N1 0.500 0.000 0.000 1
Se1 0.000 0.000 0.500 1
Hg1 0.000 0.000 0.000 1
N2 0.000 0.500 0.000 1
```